[1]
An optimized crystal structure of Sm3Er3Mg2, computed with GGA-PBE.

The structure in POSCAR format:
```
Sm3Er3Mg2
1.0
-0.051 5.292 -0.498
-5.651 -2.833 -1.155
-3.794 1.389 15.154
Sm Er Mg
6 6 4
Cartesian
-3.849 2.898 2.828
-2.734 0.823 9.034
-3.846 1.230 13.477
-5.647 0.949 10.673
-5.650 2.617 0.024
-6.762 3.024 4.467
-3.439 3.237 6.392
-3.134 3.679 11.052
-6.057 0.610 7.109
-1.807 2.640 -0.128
-6.362 0.169 2.449
-7.689 1.207 13.629
-6.342 3.732 11.950
-3.154 0.115 1.551
-5.545 3.440 8.764
-3.951 0.407 4.738
```

Properties
Total moment in μB/cell: 0.00
Space-group type: Cmcm, No. 63
VASP energy in eV/f.u.: -30.48

=====

[2]
An optimized crystal structure of Ti2CrCl, computed with GGA-PBE.

The structure in POSCAR format:
```
Ti2CrCl
1.0
-3.292 0.325 -4.146
4.130 -0.366 -3.307
-0.110 -5.729 -3.755
Cr Cl Ti
2 2 4
Cartesian
0.000 0.000 0.000
-1.491 -2.712 -5.814
0.419 -0.020 -3.727
2.220 -3.058 -5.395
2.301 -1.636 -3.325
0.034 -4.294 -5.452
0.850 -4.350 -9.497
-1.727 -1.259 -4.143
```

Properties
Total moment in μB/cell: 0.00
Space-group type: I-42d, No. 122
Offset from the most stable computed form in meV/atom: 172

=====

[3]
An optimized crystal structure of LiCl3, computed with GGA-PBE.

The structure in POSCAR format:
```
LiCl3
1.0
0.000 3.540 3.540
3.540 0.000 3.540
3.540 3.540 0.000
Cl Li
3 1
Cartesian
5.310 5.310 5.310
3.540 3.540 3.540
1.770 1.770 1.770
0.000 0.000 0.000
```

Properties
Total moment in μB/cell: 2.00
Space-group type: Fm-3m, No. 225
Offset from the most stable computed form in meV/atom: 612